No. 1
A relaxed LiCaBe3 crystal, computed with PBE-GGA.

Cell and atoms, written as CIF:
```
data_LiCaBe3
_chemical_formula_sum 'Li1 Ca1 Be3'
_cell_length_a 4.2372
_cell_length_b 4.2372
_cell_length_c 4.2372
_cell_angle_alpha 90.00
_cell_angle_beta 90.00
_cell_angle_gamma 90.00
_symmetry_space_group_name_H-M 'P m -3 m'
_symmetry_Int_Tables_number 221
_symmetry_space_group_name_Hall '-P 4 2 3'
loop_
_atom_site_label
_atom_site_type_symbol
_atom_site_fract_x
_atom_site_fract_y
_atom_site_fract_z
Li1 Li 0.0000 0.0000 0.0000
Ca1 Ca 0.5000 0.5000 0.5000
Be1 Be 0.0000 0.0000 0.5000
```

calculated volume = 76 Å³ per cell
E above lowest polymorph = 0 meV/atom
electronic total energy = -2.358 eV/atom
energy of formation = 660 meV per atom

No. 2
A relaxed LiCaBe3 crystal, computed with PBE-GGA.

Cell and atoms, written as CIF:
```
data_LiCaBe3
_chemical_formula_sum 'Li1 Ca1 Be3'
_cell_length_a 5.3237
_cell_length_b 5.3237
_cell_length_c 5.3237
_cell_angle_alpha 90.00
_cell_angle_beta 90.00
_cell_angle_gamma 90.00
_symmetry_space_group_name_H-M 'P m -3 m'
_symmetry_Int_Tables_number 221
_symmetry_space_group_name_Hall '-P 4 2 3'
loop_
_atom_site_label
_atom_site_type_symbol
_atom_site_fract_x
_atom_site_fract_y
_atom_site_fract_z
Li1 Li 0.0000 0.0000 0.0000
Ca1 Ca 0.5000 0.5000 0.5000
Be1 Be 0.0000 0.5000 0.5000
```

calculated volume = 151 Å³ per cell
E above lowest polymorph = 1090 meV/atom
electronic total energy = -1.269 eV/atom
energy of formation = 1750 meV per atom

No. 3
A relaxed LiCa2Be crystal, computed with PBE-GGA.

Cell and atoms, written as CIF:
```
data_LiCa2Be
_chemical_formula_sum 'Li4 Ca8 Be4'
_cell_length_a 7.2507
_cell_length_b 7.2507
_cell_length_c 7.2507
_cell_angle_alpha 90.00
_cell_angle_beta 90.00
_cell_angle_gamma 90.00
_symmetry_space_group_name_H-M 'F -4 3 m'
_symmetry_Int_Tables_number 216
_symmetry_space_group_name_Hall 'F -4 2 3'
loop_
_atom_site_label
_atom_site_type_symbol
_atom_site_fract_x
_atom_site_fract_y
_atom_site_fract_z
Li1 Li 0.0000 0.0000 0.0000
Ca1 Ca 0.0000 0.0000 0.5000
Ca2 Ca 0.2500 0.2500 0.2500
Be1 Be 0.2500 0.2500 0.7500
```

calculated volume = 381 Å³ per cell
electronic total energy = -2.013 eV/atom
energy of formation = 398 meV per atom

No. 4
A relaxed Li2CaBeN crystal, computed with PBE-GGA.

Cell and atoms, written as CIF:
```
data_Li2CaBeN
_chemical_formula_sum 'Li2 Ca1 Be1 N1'
_cell_length_a 5.6153
_cell_length_b 5.6153
_cell_length_c 4.1083
_cell_angle_alpha 90.00
_cell_angle_beta 90.00
_cell_angle_gamma 90.00
_symmetry_space_group_name_H-M 'P 4/m m m'
_symmetry_Int_Tables_number 123
_symmetry_space_group_name_Hall '-P 4 2'
loop_
_atom_site_label
_atom_site_type_symbol
_atom_site_fract_x
_atom_site_fract_y
_atom_site_fract_z
Li1 Li 0.0000 0.5000 0.0000
Ca1 Ca 0.0000 0.0000 0.0000
Be1 Be 0.5000 0.5000 0.5000
N1 N 0.0000 0.0000 0.5000
```

calculated volume = 130 Å³ per cell
electronic total energy = -2.408 eV/atom
formation energy without anion corrections = 1.168 eV per atom

No. 5
A relaxed LiCa2BeP2 crystal, computed with PBE-GGA.

Cell and atoms, written as CIF:
```
data_LiCa2BeP2
_chemical_formula_sum 'Li4 Ca8 Be4 P8'
_cell_length_a 5.6942
_cell_length_b 13.3227
_cell_length_c 5.6545
_cell_angle_alpha 90.00
_cell_angle_beta 90.00
_cell_angle_gamma 90.00
_symmetry_space_group_name_H-M 'I b a m'
_symmetry_Int_Tables_number 72
_symmetry_space_group_name_Hall '-I 2 2c'
loop_
_atom_site_label
_atom_site_type_symbol
_atom_site_fract_x
_atom_site_fract_y
_atom_site_fract_z
Li1 Li 0.0000 0.0000 0.2500
Ca1 Ca 0.2457 0.1673 0.0000
Be1 Be 0.0000 0.5000 0.2500
P1 P 0.2246 0.3998 0.0000
```

calculated volume = 429 Å³ per cell
electronic total energy = -4.169 eV/atom
energy of formation = -758 meV per atom

No. 6
A relaxed LiCa2Be2Pd5 crystal, computed with PBE-GGA.

Cell and atoms, written as CIF:
```
data_LiCa2Be2Pd5
_chemical_formula_sum 'Li2 Ca4 Be4 Pd10'
_cell_length_a 9.9083
_cell_length_b 9.9083
_cell_length_c 3.2475
_cell_angle_alpha 90.00
_cell_angle_beta 90.00
_cell_angle_gamma 90.00
_symmetry_space_group_name_H-M 'P 4/m b m'
_symmetry_Int_Tables_number 127
_symmetry_space_group_name_Hall '-P 4 2ab'
loop_
_atom_site_label
_atom_site_type_symbol
_atom_site_fract_x
_atom_site_fract_y
_atom_site_fract_z
Li1 Li 0.0000 0.0000 0.0000
Ca1 Ca 0.1765 0.3235 0.0000
Be1 Be 0.1238 0.6238 0.0000
Pd1 Pd 0.0000 0.5000 0.5000
Pd2 Pd 0.0672 0.7856 0.5000
```

calculated volume = 319 Å³ per cell
electronic total energy = -4.527 eV/atom
energy of formation = -593 meV per atom

No. 7
A relaxed LiCa2BePd2 crystal, computed with PBE-GGA.

Cell and atoms, written as CIF:
```
data_LiCa2BePd2
_chemical_formula_sum 'Li4 Ca8 Be4 Pd8'
_cell_length_a 5.9788
_cell_length_b 13.4213
_cell_length_c 5.9814
_cell_angle_alpha 90.00
_cell_angle_beta 90.00
_cell_angle_gamma 90.00
_symmetry_space_group_name_H-M 'I b a m'
_symmetry_Int_Tables_number 72
_symmetry_space_group_name_Hall '-I 2 2c'
loop_
_atom_site_label
_atom_site_type_symbol
_atom_site_fract_x
_atom_site_fract_y
_atom_site_fract_z
Li1 Li 0.0000 0.0000 0.2500
Ca1 Ca 0.2456 0.1669 0.0000
Be1 Be 0.0000 0.5000 0.2500
Pd1 Pd 0.2104 0.4051 0.0000
```

calculated volume = 480 Å³ per cell
electronic total energy = -3.806 eV/atom
energy of formation = -468 meV per atom

No. 8
A relaxed LiCaBePd2 crystal, computed with PBE-GGA.

Cell and atoms, written as CIF:
```
data_LiCaBePd2
_chemical_formula_sum 'Li1 Ca1 Be1 Pd2'
_cell_length_a 4.3899
_cell_length_b 4.3899
_cell_length_c 4.4463
_cell_angle_alpha 90.00
_cell_angle_beta 90.00
_cell_angle_gamma 90.00
_symmetry_space_group_name_H-M 'P 4/m m m'
_symmetry_Int_Tables_number 123
_symmetry_space_group_name_Hall '-P 4 2'
loop_
_atom_site_label
_atom_site_type_symbol
_atom_site_fract_x
_atom_site_fract_y
_atom_site_fract_z
Li1 Li 0.0000 0.0000 0.0000
Ca1 Ca 0.5000 0.5000 0.0000
Be1 Be 0.0000 0.0000 0.5000
Pd1 Pd 0.0000 0.5000 0.5000
```

calculated volume = 86 Å³ per cell
electronic total energy = -4.000 eV/atom
energy of formation = -394 meV per atom

No. 9
A relaxed LiCa2BePt2 crystal, computed with PBE-GGA.

Cell and atoms, written as CIF:
```
data_LiCa2BePt2
_chemical_formula_sum 'Li4 Ca8 Be4 Pt8'
_cell_length_a 5.9170
_cell_length_b 13.1938
_cell_length_c 5.9626
_cell_angle_alpha 90.00
_cell_angle_beta 90.00
_cell_angle_gamma 90.00
_symmetry_space_group_name_H-M 'I b a m'
_symmetry_Int_Tables_number 72
_symmetry_space_group_name_Hall '-I 2 2c'
loop_
_atom_site_label
_atom_site_type_symbol
_atom_site_fract_x
_atom_site_fract_y
_atom_site_fract_z
Li1 Li 0.0000 0.0000 0.2500
Ca1 Ca 0.2409 0.1674 0.0000
Be1 Be 0.0000 0.5000 0.2500
Pt1 Pt 0.2123 0.4032 0.0000
```

calculated volume = 465 Å³ per cell
electronic total energy = -4.324 eV/atom
energy of formation = -703 meV per atom

No. 10
A relaxed LiCaBeRh2 crystal, computed with PBE-GGA.

Cell and atoms, written as CIF:
```
data_LiCaBeRh2
_chemical_formula_sum 'Li1 Ca1 Be1 Rh2'
_cell_length_a 4.2914
_cell_length_b 4.2914
_cell_length_c 4.3485
_cell_angle_alpha 90.00
_cell_angle_beta 90.00
_cell_angle_gamma 90.00
_symmetry_space_group_name_H-M 'P 4/m m m'
_symmetry_Int_Tables_number 123
_symmetry_space_group_name_Hall '-P 4 2'
loop_
_atom_site_label
_atom_site_type_symbol
_atom_site_fract_x
_atom_site_fract_y
_atom_site_fract_z
Li1 Li 0.0000 0.0000 0.0000
Ca1 Ca 0.5000 0.5000 0.0000
Be1 Be 0.0000 0.0000 0.5000
Rh1 Rh 0.0000 0.5000 0.5000
```

calculated volume = 80 Å³ per cell
electronic total energy = -4.712 eV/atom
energy of formation = -243 meV per atom

No. 11
A relaxed LiCa2BeSi crystal, computed with PBE-GGA.

Cell and atoms, written as CIF:
```
data_LiCa2BeSi
_chemical_formula_sum 'Li1 Ca2 Be1 Si1'
_cell_length_a 5.3508
_cell_length_b 5.3508
_cell_length_c 4.3237
_cell_angle_alpha 90.00
_cell_angle_beta 90.00
_cell_angle_gamma 90.00
_symmetry_space_group_name_H-M 'P 4/m m m'
_symmetry_Int_Tables_number 123
_symmetry_space_group_name_Hall '-P 4 2'
loop_
_atom_site_label
_atom_site_type_symbol
_atom_site_fract_x
_atom_site_fract_y
_atom_site_fract_z
Li1 Li 0.0000 0.0000 0.0000
Ca1 Ca 0.0000 0.5000 0.0000
Be1 Be 0.5000 0.5000 0.5000
Si1 Si 0.0000 0.0000 0.5000
```

calculated volume = 124 Å³ per cell
electronic total energy = -2.557 eV/atom
formation energy without anion corrections = 0.456 eV per atom

No. 12
A relaxed LiCaBeSn2 crystal, computed with PBE-GGA.

Cell and atoms, written as CIF:
```
data_LiCaBeSn2
_chemical_formula_sum 'Li1 Ca1 Be1 Sn2'
_cell_length_a 4.9588
_cell_length_b 4.9588
_cell_length_c 4.7467
_cell_angle_alpha 90.00
_cell_angle_beta 90.00
_cell_angle_gamma 90.00
_symmetry_space_group_name_H-M 'P 4/m m m'
_symmetry_Int_Tables_number 123
_symmetry_space_group_name_Hall '-P 4 2'
loop_
_atom_site_label
_atom_site_type_symbol
_atom_site_fract_x
_atom_site_fract_y
_atom_site_fract_z
Li1 Li 0.0000 0.0000 0.0000
Ca1 Ca 0.5000 0.5000 0.0000
Be1 Be 0.0000 0.0000 0.5000
Sn1 Sn 0.0000 0.5000 0.5000
```

calculated volume = 117 Å³ per cell
electronic total energy = -3.178 eV/atom
energy of formation = -49 meV per atom

> Which value of calculated volume does entry 6 give?

319 Å³ per cell

> calculated volume of number 8 (LiCaBePd2)?

86 Å³ per cell